Entry 1:
The following is a DFT calculation (GGA-PBE) of an optimized crystal structure of LiSc2HPt. Values from VASP.

The structure in Quantum ESPRESSO input format:
```
&SYSTEM
  ibrav = 0, nat = 5, ntyp = 4
/
ATOMIC_SPECIES
Li 6.94 Li.upf
Sc 44.96 Sc.upf
H 1.01 H.upf
Pt 195.08 Pt.upf
ATOMIC_POSITIONS angstrom
Li 0.000 0.000 0.000
Sc 0.000 2.269 1.755
Sc 2.269 0.000 1.755
H 0.000 0.000 1.755
Pt 2.269 2.269 0.000
CELL_PARAMETERS angstrom
4.539 0.000 0.000
0.000 4.539 0.000
0.000 0.000 3.511
```

Summary:
SG: P4/mmm (123)
Density of states at the Fermi level in states/eV/f.u.: 2.238
Final energy in eV/cell: -27.6


Entry 2:
The following is a DFT calculation (GGA-PBE) of an optimized crystal structure of Li2SiHPt. Values from VASP.

The structure in Quantum ESPRESSO input format:
```
&SYSTEM
  ibrav = 0, nat = 5, ntyp = 4
/
ATOMIC_SPECIES
Li 6.94 Li.upf
Si 28.09 Si.upf
H 1.01 H.upf
Pt 195.08 Pt.upf
ATOMIC_POSITIONS angstrom
Li 0.000 1.846 0.000
Li 1.846 0.000 0.000
Si 0.000 0.000 1.979
H 0.000 0.000 0.000
Pt 1.846 1.846 1.979
CELL_PARAMETERS angstrom
3.692 0.000 0.000
0.000 3.692 0.000
0.000 0.000 3.958
```

Summary:
SG: P4/mmm (123)
Density of states at the Fermi level in states/eV/f.u.: 0.888
Final energy in eV/cell: -20.6


Entry 3:
The following is a DFT calculation (GGA-PBE) of an optimized crystal structure of Li2SnHPt. Values from VASP.

The structure in Quantum ESPRESSO input format:
```
&SYSTEM
  ibrav = 0, nat = 5, ntyp = 4
/
ATOMIC_SPECIES
Li 6.94 Li.upf
Sn 118.71 Sn.upf
H 1.01 H.upf
Pt 195.08 Pt.upf
ATOMIC_POSITIONS angstrom
Li 0.000 2.091 0.000
Li 2.091 0.000 0.000
Sn 0.000 0.000 1.864
H 2.091 2.091 0.000
Pt 2.091 2.091 1.864
CELL_PARAMETERS angstrom
4.183 0.000 0.000
0.000 4.183 0.000
0.000 0.000 3.727
```

Summary:
SG: P4/mmm (123)
Density of states at the Fermi level in states/eV/f.u.: 1.243
Final energy in eV/cell: -19.6


Entry 4:
The following is a DFT calculation (GGA-PBE) of an optimized crystal structure of LiSnHPt2. Values from VASP.

The structure in Quantum ESPRESSO input format:
```
&SYSTEM
  ibrav = 0, nat = 5, ntyp = 4
/
ATOMIC_SPECIES
Li 6.94 Li.upf
Sn 118.71 Sn.upf
H 1.01 H.upf
Pt 195.08 Pt.upf
ATOMIC_POSITIONS angstrom
Li 0.000 0.000 0.000
Sn 2.023 2.023 0.000
H 0.000 0.000 2.041
Pt 0.000 2.023 2.041
Pt 2.023 0.000 2.041
CELL_PARAMETERS angstrom
4.045 0.000 0.000
0.000 4.045 0.000
0.000 0.000 4.081
```

Summary:
SG: P4/mmm (123)
Density of states at the Fermi level in states/eV/f.u.: 1.822
Final energy in eV/cell: -23.5


Entry 5:
The following is a DFT calculation (GGA-PBE) of an optimized crystal structure of Li2SnHPt. Values from VASP.

The structure in Quantum ESPRESSO input format:
```
&SYSTEM
  ibrav = 0, nat = 5, ntyp = 4
/
ATOMIC_SPECIES
Li 6.94 Li.upf
Sn 118.71 Sn.upf
H 1.01 H.upf
Pt 195.08 Pt.upf
ATOMIC_POSITIONS angstrom
Li 0.000 1.955 0.000
Li 1.955 0.000 0.000
Sn 0.000 0.000 2.224
H 0.000 0.000 0.000
Pt 1.955 1.955 2.224
CELL_PARAMETERS angstrom
3.911 0.000 0.000
0.000 3.911 0.000
0.000 0.000 4.448
```

Summary:
SG: P4/mmm (123)
Density of states at the Fermi level in states/eV/f.u.: 2.325
Final energy in eV/cell: -19.1


Entry 6:
The following is a DFT calculation (GGA-PBE) of an optimized crystal structure of Sr2LiHPt. Values from VASP.

The structure in Quantum ESPRESSO input format:
```
&SYSTEM
  ibrav = 0, nat = 5, ntyp = 4
/
ATOMIC_SPECIES
Sr 87.62 Sr.upf
Li 6.94 Li.upf
H 1.01 H.upf
Pt 195.08 Pt.upf
ATOMIC_POSITIONS angstrom
Sr 0.000 2.564 0.000
Sr 2.564 0.000 0.000
Li 0.000 0.000 2.034
H 0.000 0.000 0.000
Pt 2.564 2.564 2.034
CELL_PARAMETERS angstrom
5.127 0.000 0.000
0.000 5.127 0.000
0.000 0.000 4.068
```

Summary:
SG: P4/mmm (123)
Density of states at the Fermi level in states/eV/f.u.: 1.778
Final energy in eV/cell: -17.0


Entry 7:
The following is a DFT calculation (GGA-PBE) of an optimized crystal structure of SrLi2HPt. Values from VASP.

The structure in Quantum ESPRESSO input format:
```
&SYSTEM
  ibrav = 0, nat = 5, ntyp = 4
/
ATOMIC_SPECIES
Sr 87.62 Sr.upf
Li 6.94 Li.upf
H 1.01 H.upf
Pt 195.08 Pt.upf
ATOMIC_POSITIONS angstrom
Sr 0.000 0.000 0.000
Li 0.000 2.097 2.458
Li 2.097 0.000 2.458
H 0.000 0.000 2.458
Pt 2.097 2.097 0.000
CELL_PARAMETERS angstrom
4.194 0.000 0.000
0.000 4.194 0.000
0.000 0.000 4.916
```

Summary:
SG: P4/mmm (123)
Density of states at the Fermi level in states/eV/f.u.: 1.410
Final energy in eV/cell: -16.9


Entry 8:
The following is a DFT calculation (GGA-PBE) of an optimized crystal structure of Sr2LiHPt. Values from VASP.

The structure in Quantum ESPRESSO input format:
```
&SYSTEM
  ibrav = 0, nat = 10, ntyp = 4
/
ATOMIC_SPECIES
Sr 87.62 Sr.upf
Li 6.94 Li.upf
H 1.01 H.upf
Pt 195.08 Pt.upf
ATOMIC_POSITIONS angstrom
Sr 0.080 1.057 3.164
Sr -0.988 1.057 7.318
Sr 5.127 3.171 0.398
Sr 4.060 3.171 4.552
Li 2.268 3.171 2.053
Li 1.872 1.057 5.663
H 0.637 3.171 1.124
H 3.503 1.057 6.592
Pt 0.365 3.171 5.455
Pt 3.775 1.057 2.261
CELL_PARAMETERS angstrom
6.938 0.000 0.000
0.000 4.228 0.000
-2.798 0.000 7.716
```

Summary:
SG: P2_1/m (11)
Density of states at the Fermi level in states/eV/f.u.: 1.202
Final energy in eV/cell: -34.5


Entry 9:
The following is a DFT calculation (GGA-PBE) of an optimized crystal structure of SrLiH6Pt. Values from VASP.

The structure in Quantum ESPRESSO input format:
```
&SYSTEM
  ibrav = 0, nat = 9, ntyp = 4
/
ATOMIC_SPECIES
Sr 87.62 Sr.upf
Li 6.94 Li.upf
H 1.01 H.upf
Pt 195.08 Pt.upf
ATOMIC_POSITIONS angstrom
Sr 0.000 0.000 0.000
Li 0.000 2.786 2.366
H 2.048 0.140 3.439
H 1.145 1.703 1.294
H 2.778 0.140 1.294
H 1.510 2.336 3.439
H 3.680 1.703 3.439
H 3.315 2.336 1.294
Pt 2.413 1.393 2.366
CELL_PARAMETERS angstrom
4.826 0.000 0.000
-2.413 4.179 0.000
0.000 0.000 4.732
```

Summary:
SG: P312 (149)
Density of states at the Fermi level in states/eV/f.u.: 0.570
Final energy in eV/cell: -33.3


Entry 10:
The following is a DFT calculation (GGA-PBE) of an optimized crystal structure of Sr2LiHPt. Values from VASP.

The structure in Quantum ESPRESSO input format:
```
&SYSTEM
  ibrav = 0, nat = 5, ntyp = 4
/
ATOMIC_SPECIES
Sr 87.62 Sr.upf
Li 6.94 Li.upf
H 1.01 H.upf
Pt 195.08 Pt.upf
ATOMIC_POSITIONS angstrom
Sr 0.000 2.718 0.000
Sr 2.718 0.000 0.000
Li 0.000 0.000 1.925
H 2.718 2.718 0.000
Pt 2.718 2.718 1.925
CELL_PARAMETERS angstrom
5.436 0.000 0.000
0.000 5.436 0.000
0.000 0.000 3.849
```

Summary:
SG: P4/mmm (123)
Density of states at the Fermi level in states/eV/f.u.: 4.476
Final energy in eV/cell: -16.5


Entry 11:
The following is a DFT calculation (GGA-PBE) of an optimized crystal structure of SrLiH6Pt2. Values from VASP.

The structure in Quantum ESPRESSO input format:
```
&SYSTEM
  ibrav = 0, nat = 20, ntyp = 4
/
ATOMIC_SPECIES
Sr 87.62 Sr.upf
Li 6.94 Li.upf
H 1.01 H.upf
Pt 195.08 Pt.upf
ATOMIC_POSITIONS angstrom
Sr 2.337 3.231 4.279
Sr 3.380 -3.231 1.426
Li 3.380 0.950 1.426
Li 2.337 -0.950 4.279
H 1.809 2.305 2.039
H 1.421 0.148 0.270
H 0.378 -0.148 3.123
H 1.317 0.924 5.096
H 4.950 2.305 0.814
H 3.358 0.924 3.462
H 2.359 -0.924 2.244
H 0.767 -2.305 4.892
H 4.400 -0.924 0.609
H 5.339 0.148 2.583
H 4.297 -0.148 5.436
H 3.908 -2.305 3.666
Pt -0.263 1.292 4.766
Pt 0.779 -1.292 1.913
Pt 4.938 1.292 3.792
Pt 5.980 -1.292 0.940
CELL_PARAMETERS angstrom
3.901 -4.811 0.000
3.901 4.811 0.000
-2.084 0.000 5.705
```

Summary:
SG: C2/c (15)
Density of states at the Fermi level in states/eV/f.u.: 3.151
Final energy in eV/cell: -79.1


Entry 12:
The following is a DFT calculation (GGA-PBE) of an optimized crystal structure of LiTb2HPt6. Values from VASP.

The structure in Quantum ESPRESSO input format:
```
&SYSTEM
  ibrav = 0, nat = 10, ntyp = 4
/
ATOMIC_SPECIES
Li 6.94 Li.upf
Tb 158.93 Tb.upf
H 1.01 H.upf
Pt 195.08 Pt.upf
ATOMIC_POSITIONS angstrom
Li 0.000 0.000 0.000
Tb 5.871 0.142 3.890
Tb 5.872 3.680 1.204
H 2.932 1.911 2.547
Pt 2.931 0.321 3.741
Pt 4.392 2.779 3.698
Pt 4.402 1.044 1.397
Pt 7.341 2.778 3.696
Pt 7.351 1.043 1.396
Pt 8.812 3.502 1.353
CELL_PARAMETERS angstrom
5.880 0.000 0.000
2.932 5.284 0.000
2.932 -1.462 5.094
```

Summary:
SG: P-1 (2)
Density of states at the Fermi level in states/eV/f.u.: 0.407
Final energy in eV/cell: -57.8